(1)
The following is a DFT calculation (PBE-GGA) of a relaxed LaMgCo2 crystal.

```
LaMgCo2
1.0
-2.1992 1.3225 3.9925
0.9628 -2.2158 4.0852
2.4184 2.2505 3.4077
Co La Mg
2 1 1
Direct
0.0000 0.0000 0.0000
0.7500 0.7500 0.7500
0.5000 0.5000 0.5000
0.2500 0.2500 0.2500
```

Results
* DOS at the Fermi energy: 5.9 states/eV per cell
* final energy: -4.76 eV/atom



(2)
The following is a DFT calculation (PBE-GGA) of a relaxed SmAlAu3 crystal.

```
SmAlAu3
1.0
-3.7451 4.0039 -1.3709
-4.0198 -2.7422 2.9723
3.2314 6.6052 10.4640
Sm Al Au
4 4 12
Direct
0.5000 0.0000 0.0000
0.0000 0.5000 0.5000
0.0000 0.5000 0.0000
0.5000 0.0000 0.5000
0.3103 0.8018 0.2500
0.8103 0.6982 0.7500
0.6897 0.1982 0.7500
0.1897 0.3018 0.2500
0.9847 0.9884 0.8914
0.4847 0.5116 0.3914
0.4847 0.5116 0.1086
0.0153 0.0116 0.3914
0.0153 0.0116 0.1086
0.5153 0.4884 0.6086
0.5153 0.4884 0.8914
0.9847 0.9884 0.6086
0.6306 0.1272 0.2500
0.1306 0.3728 0.7500
0.3694 0.8728 0.7500
0.8694 0.6272 0.2500
```

Results
* DOS at the Fermi energy: 10.4 states/eV per cell
* energy above the lowest structure with this stoichiometry: 0 kJ/mol of formula units
* final energy: -4.28 eV/atom



(3)
The following is a DFT calculation (PBE-GGA) of a relaxed Pr4Nd3Sm crystal.

```
Pr4Nd3Sm
1.0
-2.4976 5.8278 -1.0641
-2.6487 0.1341 6.9513
10.1949 5.0606 3.7870
Pr Nd Sm
8 6 2
Direct
0.9810 0.8735 0.0000
0.4822 0.1257 0.0000
0.1474 0.1264 0.2492
0.6474 0.8736 0.2508
0.9822 0.8743 0.5000
0.4810 0.1265 0.5000
0.6474 0.8736 0.7492
0.1474 0.1264 0.7508
0.4798 0.6235 0.0000
0.1485 0.6237 0.2501
0.6485 0.3763 0.2499
0.9798 0.3765 0.5000
0.6485 0.3763 0.7501
0.1485 0.6237 0.7499
0.9804 0.3759 0.0000
0.4804 0.6241 0.5000
```

Results
* DOS at the Fermi energy: 28.0 states/eV per cell
* energy above the lowest structure with this stoichiometry: 16 kJ/mol of formula units
* final energy: -4.73 eV/atom



(4)
The following is a DFT calculation (PBE-GGA) of a relaxed LiZn5Pd2 crystal.

```
LiZn5Pd2
1.0
4.9267 0.6540 -2.0739
-1.9525 4.5696 -2.0754
-0.3755 -0.6576 5.3316
Li Zn Pd
1 5 2
Direct
0.7781 0.7781 0.0000
0.2780 0.2780 0.5002
0.2780 0.7778 0.0000
0.7778 0.2780 0.0000
0.7778 0.7778 0.4998
0.2776 0.2776 0.0000
0.2779 0.7779 0.5000
0.7779 0.2779 0.5000
```

Results
* DOS at the Fermi energy: 2.6 states/eV per cell
* energy above the lowest structure with this stoichiometry: 0 kJ/mol of formula units
* final energy: -2.71 eV/atom



(5)
The following is a DFT calculation (PBE-GGA) of a relaxed PmNd5Sm2Sc crystal.

```
PmNd5Sm2Sc
1.0
-1.7930 0.8460 -8.4740
-7.5716 -4.1221 1.1905
1.0435 8.7493 5.1216
Pm Nd Sm Sc
2 10 4 2
Direct
0.2500 0.2500 0.5000
0.7500 0.7500 0.5000
0.9342 0.4342 0.2849
0.6493 0.1493 0.7151
0.0658 0.5658 0.7151
0.1493 0.0658 0.7151
0.5658 0.6493 0.7151
0.8507 0.9342 0.2849
0.4342 0.3507 0.2849
0.3507 0.8507 0.2849
0.5000 0.5000 0.0000
0.0000 0.0000 0.0000
0.1207 0.3793 0.0000
0.6207 0.1207 0.0000
0.3793 0.8793 0.0000
0.8793 0.6207 0.0000
0.2500 0.7500 0.5000
0.7500 0.2500 0.5000
```

Results
* DOS at the Fermi energy: 30.4 states/eV per cell
* final energy: -4.64 eV/atom



(6)
The following is a DFT calculation (PBE-GGA) of a relaxed CsZrRuS3 crystal.

```
CsZrRuS3
1.0
-0.4831 3.3679 -1.5544
-1.1536 -3.9520 -8.2039
-8.2287 1.2403 5.2448
Cs Zr Ru S
2 2 2 6
Direct
0.2500 0.2233 0.2471
0.7500 0.7767 0.7529
0.2500 0.6833 0.1565
0.7500 0.3167 0.8435
0.2500 0.0881 0.6063
0.7500 0.9119 0.3937
0.7500 0.8662 0.1356
0.2500 0.1338 0.8644
0.2500 0.8047 0.4547
0.7500 0.1953 0.5453
0.7500 0.4736 0.1405
0.2500 0.5264 0.8595
```

Results
* DOS at the Fermi energy: 4.9 states/eV per cell
* formation energy from raw total energies: -1151 meV/atom
* final energy: -6.33 eV/atom



(7)
The following is a DFT calculation (PBE-GGA) of a relaxed DyTh2Sc crystal.

```
DyTh2Sc
1.0
4.9008 0.0000 0.0000
0.0000 4.9644 0.0000
0.0000 0.0000 4.9644
Sc Th Dy
1 2 1
Direct
0.5000 0.0000 0.0000
0.0000 0.0000 0.5000
0.0000 0.5000 0.0000
0.5000 0.5000 0.5000
```

Results
* DOS at the Fermi energy: 5.7 states/eV per cell
* energy above the lowest structure with this stoichiometry: 2 kJ/mol of formula units
* final energy: -6.40 eV/atom



(8)
The following is a DFT calculation (PBE-GGA) of a relaxed Tb2Ga5Co2Ru crystal.

```
Tb2Ga5Co2Ru
1.0
3.9882 0.0000 0.0000
0.0000 9.1006 0.0000
0.0000 0.0000 9.1006
Tb Ga Co Ru
4 10 4 2
Direct
0.0000 0.6810 0.1810
0.0000 0.3190 0.8190
0.0000 0.1810 0.3190
0.0000 0.8190 0.6810
0.5000 0.2027 0.0581
0.5000 0.7973 0.9419
0.5000 0.0581 0.7973
0.5000 0.7027 0.4419
0.5000 0.9419 0.2027
0.5000 0.2973 0.5581
0.5000 0.5581 0.7027
0.5000 0.4419 0.2973
0.5000 0.5000 0.0000
0.5000 0.0000 0.5000
0.0000 0.1146 0.6146
0.0000 0.8854 0.3854
0.0000 0.6146 0.8854
0.0000 0.3854 0.1146
0.0000 0.0000 0.0000
0.0000 0.5000 0.5000
```

Results
* DOS at the Fermi energy: 13.3 states/eV per cell
* final energy: -5.15 eV/atom



Number 1: total magnetization 2.7 μB/f.u.. Number 2: total magnetization 0.0 μB/f.u.. Number 3: total magnetization 0.0 μB/f.u.. Number 4: total magnetization 0.0 μB/f.u.. Number 5: total magnetization 0.0 μB/f.u.. Number 6: total magnetization 0.0 μB/f.u.. Number 7: total magnetization 0.0 μB/f.u.. Number 8: total magnetization 0.0 μB/f.u..